1.
TiZn5Cu, relaxed, DFT GGA-PBE; DFT formation energy = 71 meV per atom; ρ = 6.5 g/cm3
1.0
2.639 -3.723 0.000
2.639 3.723 0.000
0.000 0.000 5.711
Ti Zn Cu
1 5 1
Cartesian
0.000 0.000 0.000 Ti
0.000 0.000 2.856 Zn
1.320 1.861 1.424 Zn
1.320 1.861 4.287 Zn
1.320 -1.861 1.424 Zn
1.320 -1.861 4.287 Zn
2.639 0.000 2.856 Cu


2.
Er2ZrPaC4, relaxed, DFT GGA-PBE; DFT formation energy = -428 meV per atom; ρ = 9.6 g/cm3
1.0
6.083 0.000 0.000
0.000 3.507 0.000
-2.080 0.000 5.742
Er Zr Pa C
2 1 1 4
Cartesian
0.000 0.000 0.000 Er
-1.040 1.754 2.871 Er
2.001 0.000 2.871 Zr
3.042 1.754 0.000 Pa
1.082 1.754 1.483 C
0.082 0.000 4.330 C
3.921 0.000 1.412 C
2.921 1.754 4.259 C